[1]
First-principles (PBE) data for a relaxed structure of DyAsPd3, as listed in the Alexandria database.

a = 8.9552 Å, b = 8.9552 Å, c = 8.9552 Å
α = 146.38°, β = 146.38°, γ = 48.28°
Sites, in units of the cell vectors:
Dy 0.1543 0.1543 0.0000
Dy 0.8457 0.8457 0.0000
As 0.2500 0.7500 0.5000
As 0.5000 0.5000 0.0000
Pd 0.3749 0.1292 0.7543
Pd 0.3749 0.6206 0.2457
Pd 0.3794 0.6251 0.7543
Pd 0.5529 0.0529 0.5000
Pd 0.8708 0.6251 0.2457
Pd 0.9471 0.4471 0.5000

Computed properties:
* raw total energy: -5.440 eV per atom
* formation energy from the elements: -0.474 eV/atom

[2]
First-principles (PBE) data for a relaxed structure of Cs2TbThSe4, as listed in the Alexandria database.

a = 7.4318 Å, b = 4.2979 Å, c = 8.8030 Å
α = 90.00°, β = 106.32°, γ = 90.00°
Sites, in units of the cell vectors:
Cs 0.0000 0.0000 0.0000
Cs 0.5000 0.5000 0.0000
Tb 0.0000 0.5000 0.5000
Th 0.5000 0.0000 0.5000
Se 0.2277 0.0000 0.6885
Se 0.2659 0.5000 0.3077
Se 0.7341 0.5000 0.6923
Se 0.7723 0.0000 0.3115

Computed properties:
* raw total energy: -5.084 eV per atom
* formation energy without anion corrections: -1622.1 meV/atom

[3]
First-principles (PBE) data for a relaxed structure of Mn2InMo, as listed in the Alexandria database.

a = 4.7205 Å, b = 4.7205 Å, c = 4.7205 Å
α = 128.34°, β = 128.34°, γ = 76.08°
Sites, in units of the cell vectors:
Mn 0.0000 0.0000 0.0000
Mn 0.7500 0.2500 0.5000
In 0.5000 0.5000 0.0000
Mo 0.2500 0.7500 0.5000

Computed properties:
* raw total energy: -7.637 eV per atom
* formation energy from the elements: 0.340 eV/atom

[4]
First-principles (PBE) data for a relaxed structure of SrGeTe2, as listed in the Alexandria database.

a = 9.8010 Å, b = 9.8010 Å, c = 9.8010 Å
α = 25.17°, β = 25.17°, γ = 25.17°
Sites, in units of the cell vectors:
Sr 0.0000 0.0000 0.0000
Ge 0.5000 0.5000 0.5000
Te 0.1100 0.1100 0.1100
Te 0.8900 0.8900 0.8900

Computed properties:
* raw total energy: -3.329 eV per atom
* formation energy without anion corrections: -183.8 meV/atom